# AcScAl2Zn2

An optimized crystal structure of AcScAl2Zn2 (GGA-PBE, Alexandria via LeMat-Bulk).

Cell: 4.4537 4.4537 7.7129 Å, 90.00 90.00 120.00°
Fractional coordinates of all 6 atoms:
Zn1 0.3333 0.6667 0.6869
Ac1 0.0000 0.0000 0.0000
Al1 0.6667 0.3333 0.7000
Sc1 0.0000 0.0000 0.5000
Al2 0.3333 0.6667 0.3000
Zn2 0.6667 0.3333 0.3131

Calculated values
Fermi-level density of states, states/eV/f.u.: 3.0
Energy of formation, eV per atom: -0.4241
Space-group type: P-3m1